Entry one
CaPrCd | the Alexandria database | PBE | optimized geometry; crystal system = trigonal; total moment = 0.000 μB/atom; SG = P3m1 (156)
1.0
5.447 0.000 0.000
-2.724 4.717 0.000
0.000 0.000 3.702
Ca Pr Cd
1 1 1
Direct
0.000 0.000 0.000
0.333 0.667 0.448
0.667 0.333 0.789

---

Entry two
CaPrCd | the Alexandria database | PBE | optimized geometry; crystal system = tetragonal; total moment = 0.000 μB/atom; SG = I4mm (107)
1.0
-1.868 1.868 6.946
1.868 -1.868 6.946
1.868 1.868 -6.946
Ca Pr Cd
1 1 1
Direct
0.000 0.000 0.000
0.289 0.289 0.000
0.644 0.644 0.000

---

Entry three
CaPrCd | the Alexandria database | PBE | optimized geometry; crystal system = hexagonal; total moment = 0.000 μB/atom; SG = P-62m (189)
1.0
8.341 0.000 0.000
-4.171 7.224 0.000
0.000 0.000 4.998
Ca Pr Cd
3 3 3
Direct
0.000 0.414 0.000
0.414 0.000 0.000
0.586 0.586 0.000
0.000 0.751 0.500
0.249 0.249 0.500
0.751 0.000 0.500
0.000 0.000 0.000
0.333 0.667 0.500
0.667 0.333 0.500

---

What should be chosen as the least stable of them? Choose entry one.

---

Entry one
CaPrCd | the Alexandria database | PBE | optimized geometry; crystal system = cubic; total moment = 0.000 μB/atom; SG = F-43m (216)
1.0
0.000 3.770 3.770
3.770 0.000 3.770
3.770 3.770 0.000
Ca Pr Cd
1 1 1
Direct
0.000 0.000 0.000
0.500 0.500 0.500
0.750 0.750 0.750

---

Entry two
CaPrCd | the Alexandria database | PBE | optimized geometry; crystal system = hexagonal; total moment = 0.000 μB/atom; SG = P6_3/mmc (194)
1.0
5.569 0.000 0.000
-2.785 4.823 0.000
0.000 0.000 7.061
Ca Pr Cd
2 2 2
Direct
0.000 0.000 0.000
0.000 0.000 0.500
0.333 0.667 0.250
0.667 0.333 0.750
0.333 0.667 0.750
0.667 0.333 0.250

---

What should be chosen as the least stable of them? Choose entry one.